Ba2ErOsN6 | GGA-PBE | optimized geometry

The structure in POSCAR format:
```
Ba2ErOsN6
1.0
-2.0748 -5.2860 1.9161
-0.9950 2.3544 5.4207
-2.3778 2.5677 -4.8652
N Ba Er Os
6 2 1 1
Direct
0.7295 0.2692 0.9987
0.2705 0.7308 0.0013
0.7308 0.7295 0.4602
0.2692 0.2705 0.5398
0.7303 0.7303 0.0000
0.2697 0.2697 0.0000
0.2500 0.7500 0.5000
0.7500 0.2500 0.5000
0.0000 0.0000 0.0000
0.5000 0.5000 0.0000
```



Ba2ErOsN6 | GGA-PBE | optimized geometry

The structure in POSCAR format:
```
Ba2ErOsN6
1.0
-4.9305 0.0429 -3.4048
0.0150 -2.7442 -5.3266
0.1323 -3.2414 5.0409
N Ba Er Os
6 2 1 1
Direct
0.7273 0.2666 0.2670
0.7334 0.2727 0.7330
0.2666 0.7273 0.2670
0.2699 0.2699 0.2762
0.7301 0.7301 0.7238
0.2727 0.7334 0.7330
0.2500 0.2500 0.7496
0.7500 0.7500 0.2504
0.0000 0.0000 0.0000
0.5000 0.5000 0.5000
```



Ba2ErOsN6 | GGA-PBE | optimized geometry

The structure in POSCAR format:
```
Ba2ErOsN6
1.0
-5.2670 1.7327 -2.2702
-3.0981 -3.7088 -3.5421
-5.0787 -2.4862 1.9850
N Os Er Ba
6 1 1 2
Direct
0.2700 0.7697 0.2303
0.2701 0.2305 0.2298
0.7299 0.7695 0.7702
0.7299 0.7700 0.2303
0.7300 0.2303 0.7697
0.2701 0.2300 0.7697
0.5000 0.0000 0.0000
0.0000 0.5000 0.5000
0.2498 0.7502 0.7504
0.7502 0.2498 0.2496
```



GGA-PBE BaNaErSe3, optimized geometry; polymorph energy (0 for the lowest one) = 2 meV per atom
1.0
-1.5529 -2.2884 10.4525
3.7463 -2.2891 0.0554
7.1733 11.8284 3.6553
Er Na Se Ba
4 4 12 4
Direct
0.9948 0.7500 0.7513
0.0052 0.2500 0.2487
0.5052 0.2500 0.2513
0.4948 0.7500 0.7487
0.7551 0.7500 0.2766
0.2449 0.2500 0.7234
0.7449 0.2500 0.7766
0.2551 0.7500 0.2234
0.7547 0.2500 0.1715
0.2546 0.2500 0.3285
0.0391 0.2500 0.6184
0.7454 0.7500 0.6715
0.2453 0.7500 0.8285
0.5497 0.7500 0.3833
0.4503 0.2500 0.6167
0.0497 0.7500 0.1167
0.9609 0.7500 0.3816
0.9503 0.2500 0.8833
0.5391 0.2500 0.8816
0.4609 0.7500 0.1184
0.7533 0.2500 0.5030
0.7467 0.7500 0.0030
0.2533 0.2500 0.9970
0.2467 0.7500 0.4970



Final energy for the records above, in order: -70.12, -70.12, -70.13, -113.01 eV for the cell shown